The following is a PBE-GGA calculation of an optimized crystal structure of AlZnRu, from Alexandria via LeMat-Bulk.

Cell: 4.800 4.800 4.800 Å, 141.70 141.70 55.28°
Fractional positions:
Al  0.000  0.000  0.000
Zn  0.317  0.317  0.000
Ru  0.647  0.647  0.000

* mass density: 7.6 g cm⁻³
* formation energy from the elements: -333 meV per atom
* energy: -15.29 eV per cell

---

The following is a PBE-GGA calculation of an optimized crystal structure of AlZn2Ru, from Alexandria via LeMat-Bulk.

Cell: 4.810 4.810 4.810 Å, 134.55 134.00 66.66°
Fractional positions:
Al  0.000  0.000  0.000
Zn  0.500  0.500  0.000
Zn  0.749  0.249  0.500
Ru  0.250  0.750  0.500

* mass density: 7.7 g cm⁻³
* formation energy from the elements: -278 meV per atom
* energy: -16.68 eV per cell

---

The following is a PBE-GGA calculation of an optimized crystal structure of AlZn2Ru, from Alexandria via LeMat-Bulk.

Cell: 3.219 3.219 5.532 Å, 90.00 90.00 90.00°
Fractional positions:
Al  0.000  0.000  0.000
Zn  0.000  0.000  0.473
Zn  0.500  0.500  0.716
Ru  0.500  0.500  0.210

* mass density: 7.5 g cm⁻³
* formation energy from the elements: -250 meV per atom
* energy: -16.57 eV per cell

---

The following is a PBE-GGA calculation of an optimized crystal structure of AlZn2Ru, from Alexandria via LeMat-Bulk.

Cell: 3.341 3.341 5.207 Å, 90.00 90.00 90.00°
Fractional positions:
Al  0.000  0.000  0.000
Zn  0.500  0.500  0.260
Zn  0.500  0.500  0.740
Ru  0.000  0.000  0.500

* mass density: 7.4 g cm⁻³
* formation energy from the elements: -106 meV per atom
* energy: -15.99 eV per cell

---

The following is a PBE-GGA calculation of an optimized crystal structure of AlZn2Ru, from Alexandria via LeMat-Bulk.

Cell: 2.746 4.665 4.557 Å, 90.00 91.26 90.00°
Fractional positions:
Al  0.000  0.000  0.000
Zn  0.228  0.500  0.744
Zn  0.772  0.500  0.256
Ru  0.500  0.000  0.500

* mass density: 7.4 g cm⁻³
* formation energy from the elements: -97 meV per atom
* energy: -15.96 eV per cell

---

The following is a PBE-GGA calculation of an optimized crystal structure of AlZn3Ru, from Alexandria via LeMat-Bulk.

Cell: 4.782 4.782 4.782 Å, 90.00 90.00 90.00°
Fractional positions:
Al  0.000  0.000  0.000
Zn  0.000  0.500  0.500
Zn  0.500  0.000  0.500
Zn  0.500  0.500  0.000
Ru  0.500  0.500  0.500

* mass density: 4.9 g cm⁻³
* offset from the most stable computed form: 0 meV/atom
* formation energy from the elements: 581 meV per atom
* energy: -13.94 eV per cell